# 1
# Cu2TcAs, optimized geometry, DFT PBE-GGA
data_Cu2TcAs
_space_group_name_H-M_alt 'I -4 2 d'
_space_group_IT_number 122
_space_group_name_Hall 'I -4 2bw'
_cell_length_a 6.964
_cell_length_b 6.964
_cell_length_c 4.865
_cell_angle_alpha 90.00
_cell_angle_beta 90.00
_cell_angle_gamma 90.00
loop_
_atom_site_label
_atom_site_fract_x
_atom_site_fract_y
_atom_site_fract_z
_atom_site_occupancy
Cu1 0.231 0.250 0.125 1
Tc1 0.000 0.000 0.500 1
As1 0.000 0.000 0.000 1
# - M_tot: 0.0084 μB per atom

***

# 2
# NaAuN2, optimized geometry, DFT PBE-GGA
data_NaAuN2
_space_group_name_H-M_alt 'R -3 m'
_space_group_IT_number 166
_space_group_name_Hall '-R 3 2"'
_cell_length_a 3.2783
_cell_length_b 3.2783
_cell_length_c 19.4871
_cell_angle_alpha 90.00
_cell_angle_beta 90.00
_cell_angle_gamma 120.00
loop_
_atom_site_label
_atom_site_fract_x
_atom_site_fract_y
_atom_site_fract_z
_atom_site_occupancy
Na1 0.0000 0.0000 0.0000 1
Au1 0.0000 0.0000 0.5000 1
N1 0.0000 0.0000 0.1153 1
# - Formation energy from raw total energies: 1.094 eV per atom
# - Polymorph energy (0 for the lowest one): 442 kJ/mol of formula units
# - M_tot: 0.0000 μB per atom

***

# 3
# DyPu2Th, optimized geometry, DFT PBE-GGA
data_DyPu2Th
_space_group_name_H-M_alt 'P 4/m m m'
_space_group_IT_number 123
_space_group_name_Hall '-P 4 2'
_cell_length_a 3.485
_cell_length_b 3.485
_cell_length_c 9.563
_cell_angle_alpha 90.00
_cell_angle_beta 90.00
_cell_angle_gamma 90.00
loop_
_atom_site_label
_atom_site_fract_x
_atom_site_fract_y
_atom_site_fract_z
_atom_site_occupancy
Dy1 0.000 0.000 0.000 1
Pu1 0.500 0.500 0.258 1
Th1 0.000 0.000 0.500 1
# - Polymorph energy (0 for the lowest one): 3 kJ/mol of formula units
# - M_tot: 2.9930 μB per atom

***

# 4
# LiTePt2, optimized geometry, DFT PBE-GGA
data_LiTePt2
_space_group_name_H-M_alt 'C 1 m 1'
_space_group_IT_number 8
_cell_length_a 9.102
_cell_length_b 3.810
_cell_length_c 4.175
_cell_angle_alpha 90.00
_cell_angle_beta 110.64
_cell_angle_gamma 90.00
loop_
_space_group_symop_operation_xyz
'x,y,z'
'x,-y,z'
'x+1/2,y+1/2,z'
'x+1/2,-y+1/2,z'
loop_
_atom_site_label
_atom_site_fract_x
_atom_site_fract_y
_atom_site_fract_z
_atom_site_occupancy
Li1 0.000 0.000 0.000 1
Te1 0.266 0.500 0.312 1
Pt1 0.001 0.500 0.491 1
Pt2 0.247 0.000 0.805 1
# - Formation energy from raw total energies: -0.370 eV per atom
# - M_tot: 0.0000 μB per atom

***

Let's list electronic total energy in order: -5.437 -4.218 -10.000 -4.654 eV per atom.